# Sr4Hg5Pd2 PBE relaxed
data_Sr4Hg5Pd2
_space_group_name_H-M_alt 'P 1 2/m 1'
_space_group_IT_number 10
_cell_length_a 7.847
_cell_length_b 4.252
_cell_length_c 9.722
_cell_angle_alpha 90.00
_cell_angle_beta 90.35
_cell_angle_gamma 90.00
loop_
_space_group_symop_operation_xyz
'x,y,z'
'-x,-y,-z'
'-x,y,-z'
'x,-y,z'
loop_
_atom_site_label
_atom_site_type_symbol
_atom_site_fract_x
_atom_site_fract_y
_atom_site_fract_z
_atom_site_occupancy
Sr1 Sr 0.205 0.000 0.351 1
Sr2 Sr 0.230 0.000 0.911 1
Hg1 Hg 0.140 0.500 0.631 1
Hg2 Hg 0.432 0.500 0.152 1
Hg3 Hg 0.500 0.500 0.500 1
Pd1 Pd 0.069 0.500 0.132 1
# - crystal system = monoclinic

***

# SrHg2Pd PBE relaxed
data_SrHg2Pd
_space_group_name_H-M_alt 'P 4/m m m'
_space_group_IT_number 123
_space_group_name_Hall '-P 4 2'
_cell_length_a 3.724
_cell_length_b 3.724
_cell_length_c 6.946
_cell_angle_alpha 90.00
_cell_angle_beta 90.00
_cell_angle_gamma 90.00
loop_
_atom_site_label
_atom_site_type_symbol
_atom_site_fract_x
_atom_site_fract_y
_atom_site_fract_z
_atom_site_occupancy
Sr1 Sr 0.000 0.000 0.000 1
Hg1 Hg 0.500 0.500 0.292 1
Pd1 Pd 0.000 0.000 0.500 1
# - crystal system = tetragonal

***

| no. | DFT formation energy (meV per atom) |
| --- | --- |
| 1 | -537 |
| 2 | -365 |